1.
The following is a PBEsol calculation of an optimized crystal structure of TaZn2Ru, from Alexandria.

Unit cell a=3.207 b=3.207 c=5.556 alpha=90.00 beta=90.00 gamma=90.00
Space group P4/mmm (No. 123)
Asymmetric unit:
Ta 0.000 0.000 0.000 x1
Zn 0.500 0.500 0.271 x2
Ru 0.000 0.000 0.500 x1

Properties
Energy above the lowest structure with this stoichiometry = 0.108 eV/atom
Formation enthalpy at 0 K = 0.08 eV per atom

2.
The following is a PBEsol calculation of an optimized crystal structure of Cd2TcNi, from Alexandria.

Unit cell a=2.8073 b=2.8073 c=27.1957 alpha=90.00 beta=90.00 gamma=120.00
Space group R-3m (No. 166, hexagonal axes)
Asymmetric unit:
Cd 0.0000 0.0000 0.2453 x6
Tc 0.0000 0.0000 0.0000 x3
Ni 0.0000 0.0000 0.5000 x3

Properties
Formation enthalpy at 0 K = 0.36 eV per atom

3.
The following is a PBEsol calculation of an optimized crystal structure of Pm2AgAu, from Alexandria.

Unit cell a=7.271 b=7.271 c=7.271 alpha=90.00 beta=90.00 gamma=90.00
Space group Fm-3m (No. 225)
Asymmetric unit:
Pm 0.250 0.250 0.250 x8
Ag 0.000 0.000 0.000 x4
Au 0.000 0.000 0.500 x4

Properties
Formation enthalpy at 0 K = -0.52 eV per atom

4.
The following is a PBEsol calculation of an optimized crystal structure of Ag2Ir2Cl, from Alexandria.

Unit cell a=3.499 b=3.499 c=15.028 alpha=90.00 beta=90.00 gamma=90.00
Space group I4/mmm (No. 139)
Asymmetric unit:
Ag 0.000 0.000 0.099 x4
Ir 0.000 0.500 0.250 x4
Cl 0.000 0.000 0.500 x2

Properties
ΔE_f (raw) = 537.4 meV/atom